# 1
Density functional theory data (meta-GGA SCAN) for a crystal of CuMoRu3 relaxed with PBEsol.

Unit cell a=4.2923 b=4.2923 c=4.2923 alpha=90.00 beta=90.00 gamma=90.00
Last column: nearest neighbours and their distance in Å.
Fractional coordinates of all 5 atoms:
Mo 0.5000 0.5000 0.5000  12 Ru 3.04
Ru 0.0000 0.5000 0.0000  2 Cu 2.15
Ru 0.0000 0.0000 0.5000  2 Cu 2.15
Ru 0.5000 0.0000 0.0000  2 Cu 2.15
Cu 0.0000 0.0000 0.0000  6 Ru 2.15

Crystal system: cubic
DFT total energy, Ry per atom: -2.1450
Formation enthalpy at 0 K, eV/atom: 1.729
Symmetry: No. 221


# 2
Density functional theory data (meta-GGA SCAN) for a crystal of CuMoRu2 relaxed with PBEsol.

Unit cell a=3.0925 b=3.0925 c=5.6227 alpha=90.00 beta=90.00 gamma=90.00
Last column: nearest neighbours and their distance in Å.
Fractional coordinates of all 4 atoms:
Mo 0.5000 0.5000 0.5000  8 Ru 2.63, 2 Cu 2.81
Ru 0.0000 0.0000 0.2395  4 Cu 2.57, 4 Mo 2.63, 1 Ru 2.69
Ru 0.0000 0.0000 0.7605  4 Cu 2.57, 4 Mo 2.63, 1 Ru 2.69
Cu 0.5000 0.5000 0.0000  8 Ru 2.57, 2 Mo 2.81

Crystal system: tetragonal
DFT total energy, Ry per atom: -2.1921
Formation enthalpy at 0 K, eV/atom: 0.109
Symmetry: No. 123
Distance to the lowest polymorph of the same formula, eV/atom: 0.0078


# 3
Density functional theory data (meta-GGA SCAN) for a crystal of Cu2MoRu relaxed with PBEsol.

Unit cell a=3.7017 b=3.7017 c=4.5669 alpha=113.91 beta=113.91 gamma=90.00
Last column: nearest neighbours and their distance in Å.
Fractional coordinates of all 4 atoms:
Ru 0.2500 0.7500 0.5000  8 Cu 2.62-2.63, 4 Mo 2.63
Cu 0.7500 0.2500 0.5000  4 Ru 2.62, 4 Mo 2.63, 4 Cu 2.63
Cu 0.0000 0.0000 0.0000  4 Mo 2.62, 4 Ru 2.63, 4 Cu 2.63
Mo 0.5000 0.5000 0.0000  8 Cu 2.62-2.63, 4 Ru 2.63

Crystal system: tetragonal
DFT total energy, Ry per atom: -1.8292
Formation enthalpy at 0 K, eV/atom: 0.140
Symmetry: No. 119


# 4
Density functional theory data (meta-GGA SCAN) for a crystal of CuMoRu2 relaxed with PBEsol.

Unit cell a=4.2387 b=4.2387 c=4.2387 alpha=60.00 beta=60.00 gamma=60.00
Last column: nearest neighbours and their distance in Å.
Fractional coordinates of all 4 atoms:
Ru 0.7500 0.7500 0.7500  4 Mo 2.60, 4 Cu 2.60
Ru 0.2500 0.2500 0.2500  4 Cu 2.60, 4 Mo 2.60
Cu 0.0000 0.0000 0.0000  8 Ru 2.60
Mo 0.5000 0.5000 0.5000  8 Ru 2.60

Crystal system: cubic
DFT total energy, Ry per atom: -2.1927
Formation enthalpy at 0 K, eV/atom: 0.102
Symmetry: No. 225
Distance to the lowest polymorph of the same formula, eV/atom: 0.0000